YGa2Pb2Au7, optimized geometry, DFT PBE; crystal system = monoclinic; V = 266.0 Å³ per cell; N(E_F) = 0.265 states/eV/atom; electronic total energy = -3.844 eV/atom
1.0
-4.036 -1.114 -1.384
-1.502 -0.505 4.116
-5.105 12.771 0.938
Y Ga Pb Au
1 2 2 7
direct
0.000 0.000 0.000
0.561 0.561 0.741
0.439 0.439 0.259
0.915 0.915 0.363
0.085 0.085 0.637
0.500 0.500 0.000
0.335 0.335 0.443
0.665 0.665 0.557
0.963 0.462 0.153
0.462 0.963 0.153
0.538 0.037 0.847
0.037 0.538 0.847

***

ZnGaPbAu3, optimized geometry, DFT PBE; crystal system = orthorhombic; V = 252.4 Å³ per cell; N(E_F) = 0.410 states/eV/atom; electronic total energy = -3.047 eV/atom
1.0
6.139 0.000 0.000
0.000 6.791 0.000
0.000 -3.395 6.054
Zn Ga Pb Au
2 2 2 6
direct
0.250 0.919 0.838
0.750 0.081 0.162
0.250 0.358 0.716
0.750 0.642 0.284
0.750 0.313 0.626
0.250 0.687 0.374
0.250 0.149 0.298
0.000 0.281 0.000
0.500 0.719 0.000
0.500 0.281 0.000
0.000 0.719 0.000
0.750 0.851 0.702

***

Among the records above, which one has the highest N(E_F)?
ZnGaPbAu3